Material: RbErHg2F8
Method: DFT, PBE
State: relaxed

Results
raw formation energy	-2.51	eV per atom
mass density	7.02	Mg/m³

a = 5.8097 Å, b = 4.0581 Å, c = 8.0861 Å
α = 90.00°, β = 90.06°, γ = 90.00°
Space group P2/m (No. 10)
One atom of each set of equivalent atoms:
Rb: 0.0000 0.0000 0.0000
Er: 0.0000 0.0000 0.5000
Hg: 0.5002 0.5000 0.2453
F: 0.2147 0.5000 0.5004
F: 0.2549 0.0000 0.2935
F: 0.2550 0.0000 0.7070
F: 0.2838 0.5000 0.0004